The following is a DFT calculation (GGA-PBE) of crystalline Cr2SbSe2 at its relaxed geometry.

Energy relative to the lowest polymorph listed for this composition   0.1688 eV per atom
E_form (uncorrected)   4.5 kcal/mol of atoms

Unit cell a=7.840 b=7.840 c=3.340 alpha=90.00 beta=90.00 gamma=90.00
Fractional coordinates of all 10 atoms:
Cr1 0.153 0.347 0.000
Cr2 0.347 0.847 0.000
Cr3 0.653 0.153 0.000
Cr4 0.847 0.653 0.000
Sb1 0.000 0.000 0.500
Sb2 0.500 0.500 0.500
Se1 0.150 0.650 0.500
Se2 0.350 0.150 0.500
Se3 0.650 0.850 0.500
Se4 0.850 0.350 0.500